# 1
# PBE PaGa4Pd2, relaxed
data_PaGa4Pd2
_chemical_formula_sum 'Pa4 Ga16 Pd8'
_cell_length_a 17.116
_cell_length_b 4.423
_cell_length_c 6.549
_cell_angle_alpha 90.00
_cell_angle_beta 90.00
_cell_angle_gamma 90.00
_symmetry_space_group_name_H-M 'P n m a'
_symmetry_Int_Tables_number 62
_symmetry_space_group_name_Hall '-P 2ac 2n'
loop_
_atom_site_label
_atom_site_type_symbol
_atom_site_fract_x
_atom_site_fract_y
_atom_site_fract_z
Pa1 Pa 0.138 0.250 0.010
Ga1 Ga 0.038 0.750 0.830
Ga2 Ga 0.070 0.250 0.480
Ga3 Ga 0.183 0.750 0.318
Ga4 Ga 0.190 0.750 0.721
Pd1 Pd 0.034 0.750 0.235
Pd2 Pd 0.217 0.250 0.525
# **Energy above the lowest structure with this stoichiometry**: 0 meV per atom

---

# 2
A relaxed structure of PaGa2Pd. Source: Alexandria via LeMat-Bulk, functional PBE.

The structure in CIF format:
```
data_PaGa2Pd
_chemical_formula_sum 'Pa3 Ga6 Pd3'
_cell_length_a 4.2759
_cell_length_b 4.2759
_cell_length_c 14.6741
_cell_angle_alpha 90.00
_cell_angle_beta 90.00
_cell_angle_gamma 120.00
_symmetry_space_group_name_H-M 'R -3 m'
_symmetry_Int_Tables_number 166
_symmetry_space_group_name_Hall '-R 3 2"'
loop_
_atom_site_label
_atom_site_type_symbol
_atom_site_fract_x
_atom_site_fract_y
_atom_site_fract_z
Pa1 Pa 0.0000 0.0000 0.0000
Ga1 Ga 0.0000 0.0000 0.2204
Pd1 Pd 0.0000 0.0000 0.5000
```

---

# 3
A relaxed structure of PaGa2Pd. Source: Alexandria via LeMat-Bulk, functional PBE.

The structure in CIF format:
```
data_PaGa2Pd
_chemical_formula_sum 'Pa4 Ga8 Pd4'
_cell_length_a 6.729
_cell_length_b 6.729
_cell_length_c 6.729
_cell_angle_alpha 90.00
_cell_angle_beta 90.00
_cell_angle_gamma 90.00
_symmetry_space_group_name_H-M 'F m -3 m'
_symmetry_Int_Tables_number 225
_symmetry_space_group_name_Hall '-F 4 2 3'
loop_
_atom_site_label
_atom_site_type_symbol
_atom_site_fract_x
_atom_site_fract_y
_atom_site_fract_z
Pa1 Pa 0.000 0.000 0.000
Ga1 Ga 0.250 0.250 0.250
Pd1 Pd 0.000 0.000 0.500
```

---

# 4
A relaxed structure of Pa3Ga5Pd2. Source: Alexandria via LeMat-Bulk, functional PBE.

The structure in CIF format:
```
data_Pa3Ga5Pd2
_chemical_formula_sum 'Pa12 Ga20 Pd8'
_cell_length_a 11.075
_cell_length_b 12.309
_cell_length_c 5.981
_cell_angle_alpha 90.00
_cell_angle_beta 90.00
_cell_angle_gamma 90.00
_symmetry_space_group_name_H-M 'I b a m'
_symmetry_Int_Tables_number 72
_symmetry_space_group_name_Hall '-I 2 2c'
loop_
_atom_site_label
_atom_site_type_symbol
_atom_site_fract_x
_atom_site_fract_y
_atom_site_fract_z
Pa1 Pa 0.000 0.000 0.250
Pa2 Pa 0.245 0.376 0.000
Ga1 Ga 0.000 0.255 0.250
Ga2 Ga 0.000 0.500 0.250
Ga3 Ga 0.136 0.380 0.500
Pd1 Pd 0.148 0.151 0.000
```

---

# 5
A relaxed structure of Pa2GaPd8. Source: Alexandria via LeMat-Bulk, functional PBE.

The structure in CIF format:
```
data_Pa2GaPd8
_chemical_formula_sum 'Pa4 Ga2 Pd16'
_cell_length_a 4.876
_cell_length_b 5.809
_cell_length_c 13.915
_cell_angle_alpha 90.00
_cell_angle_beta 90.00
_cell_angle_gamma 90.00
_symmetry_space_group_name_H-M 'I m m m'
_symmetry_Int_Tables_number 71
_symmetry_space_group_name_Hall '-I 2 2'
loop_
_atom_site_label
_atom_site_type_symbol
_atom_site_fract_x
_atom_site_fract_y
_atom_site_fract_z
Pa1 Pa 0.000 0.000 0.183
Ga1 Ga 0.000 0.000 0.500
Pd1 Pd 0.000 0.253 0.000
Pd2 Pd 0.000 0.259 0.363
Pd3 Pd 0.000 0.500 0.184
```

---

# 6
# PBE Pa2Ga5Pd3, relaxed
data_Pa2Ga5Pd3
_chemical_formula_sum 'Pa8 Ga20 Pd12'
_cell_length_a 10.239
_cell_length_b 12.267
_cell_length_c 5.902
_cell_angle_alpha 90.00
_cell_angle_beta 90.00
_cell_angle_gamma 90.00
_symmetry_space_group_name_H-M 'I b a m'
_symmetry_Int_Tables_number 72
_symmetry_space_group_name_Hall '-I 2 2c'
loop_
_atom_site_label
_atom_site_type_symbol
_atom_site_fract_x
_atom_site_fract_y
_atom_site_fract_z
Pa1 Pa 0.227 0.136 0.000
Ga1 Ga 0.000 0.000 0.250
Ga2 Ga 0.000 0.282 0.250
Ga3 Ga 0.159 0.398 0.000
Pd1 Pd 0.000 0.500 0.250
Pd2 Pd 0.109 0.141 0.500
# **Energy above the lowest structure with this stoichiometry**: 28 meV per atom

---

Fermi-level density of states, record by record: 0.631 0.608 1.370 1.466 0.535 0.752 states/eV/atom
Calculated total energy, record by record: -5.13 -5.66 -5.50 -5.65 -6.41 -5.53 eV/atom